Hf3Tl2Se6 | PBE | optimized geometry

Results
The formation energy (no corrections) is -11.92 eV per formula unit. Its space group is C2/m, No. 12. The density of states at the Fermi level comes out at 5.570 states/eV/cell.

```
Hf3Tl2Se6
1.0
-3.980 -2.481 -4.507
-3.768 -5.105 1.445
-7.330 4.283 0.952
Se Hf Tl
6 3 2
direct
0.269 0.000 0.194
0.601 0.333 0.196
0.933 0.667 0.196
0.067 0.333 0.804
0.731 0.000 0.806
0.399 0.667 0.804
0.331 0.338 0.000
0.000 0.000 0.000
0.669 0.662 0.000
0.834 0.332 0.500
0.166 0.668 0.500
```

---

HfTlSe2 | PBE | optimized geometry

Results
The formation energy (no corrections) is -2.66 eV per formula unit. Its space group is Cmc2_1, No. 36. The density of states at the Fermi level comes out at 9.320 states/eV/cell.

```
HfTlSe2
1.0
6.299 0.000 0.000
0.000 10.356 0.000
0.000 0.000 6.618
Se Hf Tl
8 4 4
direct
0.372 0.327 0.710
0.872 0.827 0.710
0.628 0.673 0.210
0.872 0.173 0.710
0.372 0.673 0.710
0.628 0.327 0.210
0.128 0.827 0.210
0.128 0.173 0.210
0.424 0.500 0.997
0.924 0.000 0.997
0.576 0.500 0.497
0.076 0.000 0.497
0.443 0.000 0.832
0.057 0.500 0.332
0.943 0.500 0.832
0.557 0.000 0.332
```

---

HfTl2Se2 | PBE | optimized geometry

Results
The formation energy (no corrections) is -2.04 eV per formula unit. Its space group is P4/mbm, No. 127. The density of states at the Fermi level comes out at 7.463 states/eV/cell.

```
HfTl2Se2
1.0
-3.435 1.102 6.130
-6.202 0.044 -3.483
-0.446 -5.428 0.725
Hf Tl Se
2 4 4
direct
0.000 0.000 0.000
0.500 0.500 0.000
0.334 0.166 0.500
0.166 0.666 0.500
0.834 0.334 0.500
0.666 0.834 0.500
0.171 0.329 0.000
0.829 0.671 0.000
0.671 0.171 0.000
0.329 0.829 0.000
```

---

Question: What is the formula in the second record?
Answer: HfTlSe2